Record 1
! BeCr2, optimized geometry, DFT PBE-GGA; values from VASP
&SYSTEM
  ibrav = 0, nat = 12, ntyp = 2
/
ATOMIC_SPECIES
Be 9.01 Be.upf
Cr 52.00 Cr.upf
ATOMIC_POSITIONS crystal
Be 0.333 0.667 0.069
Be 0.333 0.667 0.431
Be 0.667 0.333 0.569
Be 0.667 0.333 0.931
Cr 0.000 0.000 0.000
Cr 0.000 0.000 0.500
Cr 0.173 0.346 0.750
Cr 0.173 0.827 0.750
Cr 0.346 0.173 0.250
Cr 0.654 0.827 0.750
Cr 0.827 0.173 0.250
Cr 0.827 0.654 0.250
CELL_PARAMETERS angstrom
4.697 0.000 0.000
-2.349 4.068 0.000
0.000 0.000 7.313
! * density: 5.372 Mg/m³
! * DOS at the Fermi energy: 0.97 states/eV/atom
! * crystal system: hexagonal
! * DFT formation energy: 475 meV/atom


Record 2
! VFeNi, optimized geometry, DFT PBE-GGA; values from VASP
&SYSTEM
  ibrav = 0, nat = 12, ntyp = 3
/
ATOMIC_SPECIES
V 50.94 V.upf
Fe 55.84 Fe.upf
Ni 58.69 Ni.upf
ATOMIC_POSITIONS crystal
V 0.215 0.250 0.003
V 0.285 0.750 0.503
V 0.715 0.250 0.497
V 0.785 0.750 0.997
Fe 0.203 0.250 0.665
Fe 0.297 0.750 0.165
Fe 0.703 0.250 0.835
Fe 0.797 0.750 0.335
Ni 0.191 0.250 0.330
Ni 0.309 0.750 0.830
Ni 0.691 0.250 0.170
Ni 0.809 0.750 0.670
CELL_PARAMETERS angstrom
4.257 0.000 0.000
0.000 4.192 0.000
0.000 0.000 7.904
! * density: 7.794 Mg/m³
! * DOS at the Fermi energy: 1.18 states/eV/atom
! * crystal system: orthorhombic
! * polymorph energy (0 for the lowest one): 13.7 meV per atom
! * DFT formation energy: -76 meV/atom


Record 3
! La4CoHg, optimized geometry, DFT PBE-GGA; values from VASP
&SYSTEM
  ibrav = 0, nat = 12, ntyp = 3
/
ATOMIC_SPECIES
La 138.91 La.upf
Co 58.93 Co.upf
Hg 200.59 Hg.upf
ATOMIC_POSITIONS crystal
La 0.099 0.250 0.061
La 0.182 0.750 0.372
La 0.375 0.505 0.784
La 0.375 0.995 0.784
La 0.625 0.005 0.216
La 0.625 0.495 0.216
La 0.818 0.250 0.628
La 0.901 0.750 0.939
Co 0.345 0.750 0.059
Co 0.655 0.250 0.941
Hg 0.271 0.250 0.441
Hg 0.729 0.750 0.559
CELL_PARAMETERS angstrom
6.117 0.000 0.000
0.000 7.170 0.000
-1.327 0.000 8.218
! * density: 7.511 Mg/m³
! * DOS at the Fermi energy: 1.16 states/eV/atom
! * crystal system: monoclinic
! * polymorph energy (0 for the lowest one): 0.0 meV per atom
! * DFT formation energy: -228 meV/atom


Record 4
! PmSm2Sc, optimized geometry, DFT PBE-GGA; values from VASP
&SYSTEM
  ibrav = 0, nat = 4, ntyp = 3
/
ATOMIC_SPECIES
Pm 145.00 Pm.upf
Sm 150.36 Sm.upf
Sc 44.96 Sc.upf
ATOMIC_POSITIONS crystal
Pm 0.000 0.000 0.000
Sm 0.500 0.500 0.265
Sm 0.500 0.500 0.735
Sc 0.000 0.000 0.500
CELL_PARAMETERS angstrom
3.573 0.000 0.000
0.000 3.573 0.000
0.000 0.000 9.870
! * density: 6.466 Mg/m³
! * DOS at the Fermi energy: 1.62 states/eV/atom
! * crystal system: tetragonal
! * polymorph energy (0 for the lowest one): 6.7 meV per atom
! * DFT formation energy: 45 meV/atom


Record 5
! Ba2Sn4PbAu3, optimized geometry, DFT PBE-GGA; values from VASP
&SYSTEM
  ibrav = 0, nat = 10, ntyp = 4
/
ATOMIC_SPECIES
Ba 137.33 Ba.upf
Sn 118.71 Sn.upf
Pb 207.20 Pb.upf
Au 196.97 Au.upf
ATOMIC_POSITIONS crystal
Ba 0.000 0.500 0.245
Ba 0.500 0.000 0.755
Sn 0.000 0.000 0.000
Sn 0.000 0.500 0.642
Sn 0.500 0.000 0.358
Sn 0.500 0.500 0.000
Pb 0.000 0.000 0.500
Au 0.000 0.500 0.877
Au 0.500 0.000 0.123
Au 0.500 0.500 0.500
CELL_PARAMETERS angstrom
4.948 0.000 0.000
0.000 4.948 0.000
0.000 0.000 11.674
! * density: 8.993 Mg/m³
! * DOS at the Fermi energy: 0.39 states/eV/atom
! * crystal system: tetragonal
! * DFT formation energy: -520 meV/atom


Record 6
! CsCuPbBr4, optimized geometry, DFT PBE-GGA; values from VASP
&SYSTEM
  ibrav = 0, nat = 14, ntyp = 4
/
ATOMIC_SPECIES
Cs 132.91 Cs.upf
Cu 63.55 Cu.upf
Pb 207.20 Pb.upf
Br 79.90 Br.upf
ATOMIC_POSITIONS crystal
Cs 0.205 0.250 0.438
Cs 0.795 0.750 0.562
Cu 0.142 0.250 0.822
Cu 0.858 0.750 0.178
Pb 0.336 0.750 0.050
Pb 0.664 0.250 0.950
Br 0.127 0.250 0.069
Br 0.228 0.750 0.340
Br 0.321 0.512 0.783
Br 0.321 0.988 0.783
Br 0.679 0.012 0.217
Br 0.679 0.488 0.217
Br 0.772 0.250 0.660
Br 0.873 0.750 0.931
CELL_PARAMETERS angstrom
6.730 0.000 0.000
0.000 7.788 0.000
-2.982 0.000 9.322
! * raw formation energy: -0.99 eV per atom
! * density: 4.916 Mg/m³
! * DOS at the Fermi energy: 0.00 states/eV/atom
! * crystal system: monoclinic


Number 1: E_tot -7.1827 eV/atom. Number 2: E_tot -7.8631 eV/atom. Number 3: E_tot -4.7480 eV/atom. Number 4: E_tot -5.0853 eV/atom. Number 5: E_tot -3.8593 eV/atom. Number 6: E_tot -3.1778 eV/atom.